1.
Li3Cd4Au, relaxed, DFT GGA-PBE; DOS at the Fermi energy = 2.122 states/eV per cell; polymorph energy (0 for the lowest one) = 0 kJ/mol of formula units; size of the total moment = 0.00 μB per formula unit
1.0
-2.143 -2.184 -2.554
1.359 -2.740 1.207
-9.375 -3.338 7.496
Li Cd Au
3 4 1
Direct
0.653 0.156 0.689 Li
0.500 0.500 0.000 Li
0.347 0.844 0.311 Li
0.911 0.405 0.192 Cd
0.785 0.283 0.433 Cd
0.089 0.595 0.808 Cd
0.215 0.717 0.567 Cd
0.000 0.000 0.000 Au


2.
Li12CdAu6, relaxed, DFT GGA-PBE; DOS at the Fermi energy = 5.376 states/eV per cell; polymorph energy (0 for the lowest one) = 46 kJ/mol of formula units; size of the total moment = 0.00 μB per formula unit
1.0
-6.657 -2.316 -1.679
4.662 -3.704 -4.129
1.257 -1.896 6.880
Au Li Cd
6 12 1
Direct
0.794 0.523 0.933 Au
0.206 0.477 0.067 Au
0.933 0.794 0.523 Au
0.523 0.933 0.794 Au
0.477 0.067 0.206 Au
0.067 0.206 0.477 Au
0.804 0.424 0.541 Li
0.576 0.459 0.196 Li
0.167 0.720 0.864 Li
0.541 0.804 0.424 Li
0.864 0.167 0.720 Li
0.136 0.833 0.280 Li
0.424 0.541 0.804 Li
0.833 0.280 0.136 Li
0.196 0.576 0.459 Li
0.459 0.196 0.576 Li
0.720 0.864 0.167 Li
0.280 0.136 0.833 Li
0.000 0.000 0.000 Cd


3.
Li8Cd2Au3, relaxed, DFT GGA-PBE; energy = -2.40 eV/atom; DOS at the Fermi energy = 4.215 states/eV per cell; size of the total moment = 0.00 μB per formula unit
1.0
4.773 0.202 1.001
1.481 6.787 1.185
0.572 -0.562 7.002
Li Au Cd
8 3 2
Direct
0.646 0.093 0.606 Li
0.354 0.394 0.907 Li
0.220 0.568 0.568 Li
0.927 0.133 0.133 Li
0.780 0.432 0.432 Li
0.646 0.606 0.093 Li
0.354 0.907 0.394 Li
0.073 0.867 0.867 Li
0.500 0.000 0.000 Au
0.000 0.736 0.264 Au
0.000 0.264 0.736 Au
0.646 0.704 0.704 Cd
0.354 0.296 0.296 Cd


4.
Li3CdAu4, relaxed, DFT GGA-PBE; DOS at the Fermi energy = 1.887 states/eV per cell; polymorph energy (0 for the lowest one) = 2 kJ/mol of formula units; size of the total moment = 0.00 μB per formula unit
1.0
4.229 0.000 0.000
0.000 4.219 0.297
-2.115 1.556 7.508
Au Cd Li
4 1 3
Direct
0.635 0.365 0.270 Au
0.865 0.136 0.730 Au
0.135 0.864 0.270 Au
0.365 0.635 0.730 Au
0.500 0.000 0.000 Cd
0.750 0.750 0.500 Li
0.000 0.500 0.000 Li
0.250 0.250 0.500 Li